Pm2SmHoH (PBE, relaxed); total moment = 0.00 μB/cell; symmetry = P4/mmm; E = -4.6021 eV/atom
1.0
5.047 0.000 0.000
0.000 5.099 0.000
0.000 0.000 5.099
Sm Pm Ho H
1 2 1 1
Cartesian
2.524 2.549 2.549
0.000 2.549 0.000
0.000 0.000 2.549
2.524 0.000 0.000
0.000 0.000 0.000